First-principles (PBE-GGA) data for crystalline Rb2RhI6O at its relaxed geometry, as listed in Alexandria.

Unit cell a=8.8418 b=8.8418 c=7.9219 alpha=56.08 beta=56.08 gamma=90.00
With the nearest neighbours (Å) after each atom.
Sites, in units of the cell vectors:
Rb (0.7500, 0.2500, 0.5000)  12 I 3.98-4.43
Rb (0.2500, 0.7500, 0.5000)  12 I 3.98-4.43
I (0.7840, 0.7840, 0.0000)  1 Rh 2.70
I (0.7840, 0.2160, 0.0000)  1 Rh 2.70
I (0.2817, 0.2817, 0.4366)  1 O 2.12
I (0.2160, 0.7840, 0.0000)  1 Rh 2.70
I (0.7183, 0.7183, 0.5634)  1 O 2.12
I (0.2160, 0.2160, 0.0000)  1 Rh 2.70
Rh (0.0000, 0.0000, 0.0000)  6 I 2.70-2.74
O (0.5000, 0.5000, 0.0000)  2 I 2.12

energy relative to the elements, uncorrected	-50.9	kJ/mol of atoms
mass density	4.6	Mg/m³



First-principles (PBE-GGA) data for crystalline Rb2RhIO6 at its relaxed geometry, as listed in Alexandria.

Unit cell a=6.0204 b=6.0204 c=10.4406 alpha=73.24 beta=73.24 gamma=60.00
With the nearest neighbours (Å) after each atom.
Sites, in units of the cell vectors:
O (0.3993, 0.3993, 0.3748)  1 I 1.93, 1 Rh 2.13
O (0.2038, 0.7101, 0.8824)  1 Rh 2.03, 1 I 2.07
O (0.8267, 0.3993, 0.3748)  1 I 1.93, 1 Rh 2.13
O (0.7962, 0.2899, 0.1176)  1 Rh 2.03, 1 I 2.07
O (0.3993, 0.8267, 0.3748)  1 I 1.93, 1 Rh 2.13
O (0.7101, 0.2038, 0.8824)  1 Rh 2.03, 1 I 2.07
O (0.2899, 0.7962, 0.1176)  1 Rh 2.03, 1 I 2.07
O (0.1733, 0.6007, 0.6252)  1 I 1.93, 1 Rh 2.13
O (0.7962, 0.7962, 0.1176)  1 Rh 2.03, 1 I 2.07
O (0.6007, 0.6007, 0.6252)  1 I 1.93, 1 Rh 2.13
O (0.2038, 0.2038, 0.8824)  1 Rh 2.03, 1 I 2.07
O (0.6007, 0.1733, 0.6252)  1 I 1.93, 1 Rh 2.13
Rb (0.2846, 0.2846, 0.1462)  12 O 3.00-3.14
Rb (0.7154, 0.7154, 0.8538)  12 O 3.00-3.14
Rb (0.1256, 0.1256, 0.6232)  12 O 3.02-3.15
Rb (0.8744, 0.8744, 0.3768)  12 O 3.02-3.15
I (0.0000, 0.0000, 0.0000)  6 O 2.07
I (0.5000, 0.5000, 0.5000)  6 O 1.93
Rh (0.4068, 0.4068, 0.7796)  6 O 2.03-2.13
Rh (0.5932, 0.5932, 0.2204)  6 O 2.03-2.13

energy relative to the elements, uncorrected	-77.5	kJ/mol of atoms
mass density	5.3	Mg/m³



First-principles (PBE-GGA) data for crystalline RbRuI2O at its relaxed geometry, as listed in Alexandria.

Unit cell a=5.9230 b=5.9230 c=3.8161 alpha=90.00 beta=90.00 gamma=90.00
With the nearest neighbours (Å) after each atom.
Sites, in units of the cell vectors:
I (0.0000, 0.5000, 0.0000)  2 Ru 2.96
I (0.5000, 0.0000, 0.0000)  2 Ru 2.96
Ru (0.0000, 0.0000, 0.0000)  2 O 1.91
O (0.0000, 0.0000, 0.5000)  2 Ru 1.91
Rb (0.5000, 0.5000, 0.5000)  8 I 3.52, 2 Rb 3.82

energy relative to the lowest polymorph listed for this composition	0	meV per atom
energy relative to the elements, uncorrected	-60.6	kJ/mol of atoms
mass density	5.7	Mg/m³



First-principles (PBE-GGA) data for crystalline RbRuIO2 at its relaxed geometry, as listed in Alexandria.

Unit cell a=4.4060 b=4.4060 c=7.0069 alpha=90.00 beta=90.00 gamma=90.00
With the nearest neighbours (Å) after each atom.
Sites, in units of the cell vectors:
O (0.0000, 0.5000, 0.0000)  2 Rb 2.20
O (0.5000, 0.0000, 0.0000)  2 Rb 2.20
Rb (0.0000, 0.0000, 0.0000)  4 O 2.20
I (0.0000, 0.0000, 0.5000)  4 Ru 3.12
Ru (0.5000, 0.5000, 0.5000)  4 I 3.12

energy relative to the lowest polymorph listed for this composition	1619	meV per atom
energy relative to the elements, uncorrected	124.5	kJ/mol of atoms
mass density	4.2	Mg/m³



First-principles (PBE-GGA) data for crystalline RbRuIO2 at its relaxed geometry, as listed in Alexandria.

Unit cell a=4.2354 b=4.2354 c=5.5671 alpha=90.00 beta=90.00 gamma=90.00
With the nearest neighbours (Å) after each atom.
Sites, in units of the cell vectors:
Ru (0.0000, 0.0000, 0.0000)  4 O 2.12
I (0.0000, 0.0000, 0.5000)  2 Ru 2.78, 4 Rb 2.99
O (0.0000, 0.5000, 0.0000)  2 Ru 2.12
O (0.5000, 0.0000, 0.0000)  2 Ru 2.12
Rb (0.5000, 0.5000, 0.5000)  4 I 2.99

energy relative to the lowest polymorph listed for this composition	0	meV per atom
energy relative to the elements, uncorrected	-31.7	kJ/mol of atoms
mass density	5.7	Mg/m³



First-principles (PBE-GGA) data for crystalline RbRuI2O at its relaxed geometry, as listed in Alexandria.

Unit cell a=6.4902 b=6.4902 c=4.1895 alpha=90.00 beta=90.00 gamma=90.00
With the nearest neighbours (Å) after each atom.
Sites, in units of the cell vectors:
O (0.0000, 0.0000, 0.5000)  2 Rb 2.09
Ru (0.5000, 0.5000, 0.5000)  8 I 3.86, 2 Ru 4.19
I (0.5000, 0.0000, 0.0000)  2 Rb 3.25
I (0.0000, 0.5000, 0.0000)  2 Rb 3.25
Rb (0.0000, 0.0000, 0.0000)  2 O 2.09

energy relative to the lowest polymorph listed for this composition	1773	meV per atom
energy relative to the elements, uncorrected	110.5	kJ/mol of atoms
mass density	4.3	Mg/m³



First-principles (PBE-GGA) data for crystalline Rb6SI2O at its relaxed geometry, as listed in Alexandria.

Unit cell a=8.4685 b=8.4645 c=11.9583 alpha=90.00 beta=90.00 gamma=90.00
With the nearest neighbours (Å) after each atom.
Sites, in units of the cell vectors:
Rb (0.7651, 0.5185, 0.0000)  1 O 2.80
Rb (0.0000, 0.7518, 0.7660)  1 O 2.80
Rb (0.0000, 0.7518, 0.2340)  1 O 2.80
Rb (0.5000, 0.2482, 0.7340)  1 O 2.80
Rb (0.7349, 0.4815, 0.5000)  1 O 2.80
Rb (0.5000, 0.2482, 0.2660)  1 O 2.80
Rb (0.7331, 0.0127, 0.5000)  1 O 2.81
Rb (0.7669, 0.9873, 0.0000)  1 O 2.81
Rb (0.2349, 0.5185, 0.0000)  1 O 2.80
Rb (0.2669, 0.0127, 0.5000)  1 O 2.81
Rb (0.2651, 0.4815, 0.5000)  1 O 2.80
Rb (0.2331, 0.9873, 0.0000)  1 O 2.81
S (0.0000, 0.7480, 0.5000)  6 Rb 3.18
S (0.5000, 0.2520, 0.0000)  6 Rb 3.18
O (0.0000, 0.7516, 0.0000)  6 Rb 2.80-2.81
O (0.5000, 0.2484, 0.5000)  6 Rb 2.80-2.81
I (0.0000, 0.2479, 0.7507)  12 Rb 4.20-4.27
I (0.5000, 0.7521, 0.2507)  12 Rb 4.20-4.27
I (0.0000, 0.2479, 0.2493)  12 Rb 4.20-4.27
I (0.5000, 0.7521, 0.7493)  12 Rb 4.20-4.27

energy relative to the elements, uncorrected	-111.8	kJ/mol of atoms
mass density	3.2	Mg/m³



First-principles (PBE-GGA) data for crystalline Rb2SI6O at its relaxed geometry, as listed in Alexandria.

Unit cell a=8.7021 b=8.7021 c=7.9239 alpha=56.69 beta=56.69 gamma=90.00
With the nearest neighbours (Å) after each atom.
Sites, in units of the cell vectors:
I (0.2234, 0.7766, 0.0000)  1 S 2.75
I (0.7103, 0.7103, 0.5793)  1 O 2.10
I (0.2897, 0.2897, 0.4207)  1 O 2.10
I (0.7766, 0.2234, 0.0000)  1 S 2.75
I (0.7766, 0.7766, 0.0000)  1 S 2.75
I (0.2234, 0.2234, 0.0000)  1 S 2.75
S (0.0000, 0.0000, 0.0000)  6 I 2.75-2.89
Rb (0.7500, 0.2500, 0.5000)  12 I 3.98-4.37
Rb (0.2500, 0.7500, 0.5000)  12 I 3.98-4.37
O (0.5000, 0.5000, 0.0000)  2 I 2.10

energy relative to the elements, uncorrected	-40.2	kJ/mol of atoms
mass density	4.3	Mg/m³



First-principles (PBE-GGA) data for crystalline RbSbIO6 at its relaxed geometry, as listed in Alexandria.

Unit cell a=5.4432 b=5.4432 c=6.4343 alpha=90.00 beta=90.00 gamma=60.00
With the nearest neighbours (Å) after each atom.
Sites, in units of the cell vectors:
O (0.3909, 0.6086, 0.3224)  1 I 2.03, 1 Sb 2.03
O (0.0004, 0.6086, 0.6776)  1 I 2.03, 1 Sb 2.03
O (0.6086, 0.0005, 0.3224)  1 I 2.03, 1 Sb 2.03
O (0.3909, 0.0005, 0.6776)  1 I 2.03, 1 Sb 2.03
O (0.6086, 0.3909, 0.6776)  1 I 2.03, 1 Sb 2.03
O (0.0005, 0.3909, 0.3224)  1 I 2.03, 1 Sb 2.03
I (0.3333, 0.3333, 0.5000)  6 O 2.03
Rb (0.0000, 0.0000, 0.0000)  6 O 2.97
Sb (0.6666, 0.6667, 0.5000)  6 O 2.03

energy relative to the elements, uncorrected	-93.2	kJ/mol of atoms
mass density	4.3	Mg/m³



First-principles (PBE-GGA) data for crystalline RbSbIO2 at its relaxed geometry, as listed in Alexandria.

Unit cell a=4.8635 b=4.8635 c=7.2976 alpha=90.00 beta=90.00 gamma=90.00
With the nearest neighbours (Å) after each atom.
Sites, in units of the cell vectors:
O (0.5000, 0.0000, 0.0000)  2 Rb 2.43
O (0.0000, 0.5000, 0.0000)  2 Rb 2.43
I (0.0000, 0.0000, 0.5000)  4 Sb 3.44, 2 Rb 3.65
Sb (0.5000, 0.5000, 0.5000)  4 I 3.44
Rb (0.0000, 0.0000, 0.0000)  4 O 2.43

energy relative to the lowest polymorph listed for this composition	1853	meV per atom
energy relative to the elements, uncorrected	61.9	kJ/mol of atoms
mass density	3.5	Mg/m³